Record 1
Below is CuN2F after structural relaxation, with properties calculated at the GGA-PBE level.

Unit cell a=5.155 b=5.155 c=5.155 alpha=90.00 beta=90.00 gamma=90.00
Atoms (fractional coordinates):
Cu 0.000 0.000 0.000
Cu 0.000 0.500 0.500
Cu 0.500 0.000 0.500
Cu 0.500 0.500 0.000
N 0.250 0.250 0.250
N 0.250 0.250 0.750
N 0.250 0.750 0.250
N 0.250 0.750 0.750
N 0.750 0.250 0.250
N 0.750 0.250 0.750
N 0.750 0.750 0.250
N 0.750 0.750 0.750
F 0.000 0.000 0.500
F 0.000 0.500 0.000
F 0.500 0.000 0.000
F 0.500 0.500 0.500

Properties
magnetic moment: 0.000 μB per atom
electronic total energy: -3.7327 eV/atom
raw formation energy: 1.92 eV/atom


Record 2
Below is CuNF5 after structural relaxation, with properties calculated at the GGA-PBE level.

Unit cell a=6.345 b=6.345 c=7.673 alpha=123.36 beta=123.36 gamma=68.30
Atoms (fractional coordinates):
Cu 0.000 0.000 0.000
Cu 0.000 0.000 0.500
N 0.344 0.656 0.750
N 0.656 0.344 0.250
F 0.018 0.982 0.250
F 0.262 0.738 0.501
F 0.262 0.738 0.999
F 0.327 0.403 0.627
F 0.403 0.327 0.127
F 0.597 0.673 0.873
F 0.673 0.597 0.373
F 0.738 0.262 0.001
F 0.738 0.262 0.499
F 0.982 0.018 0.750

Properties
magnetic moment: 0.035 μB per atom
electronic total energy: -3.8569 eV/atom
raw formation energy: -0.75 eV/atom


Record 3
Below is CuNF2 after structural relaxation, with properties calculated at the GGA-PBE level.

Unit cell a=6.449 b=2.960 c=7.045 alpha=90.00 beta=106.93 gamma=90.00
Atoms (fractional coordinates):
Cu 0.000 0.000 0.000
Cu 0.500 0.500 0.000
N 0.499 0.000 0.501
N 0.999 0.500 0.501
F 0.175 0.500 0.139
F 0.325 0.000 0.862
F 0.675 0.000 0.139
F 0.825 0.500 0.862

Properties
magnetic moment: 0.997 μB per atom
electronic total energy: -3.8151 eV/atom
raw formation energy: 0.23 eV/atom